(1)
# AlAsSe2I, optimized geometry, DFT PBEsol
data_AlAsSe2I
_space_group_name_H-M_alt 'P 4/m m m'
_space_group_IT_number 123
_space_group_name_Hall '-P 4 2'
_cell_length_a 4.7707
_cell_length_b 4.7707
_cell_length_c 5.1608
_cell_angle_alpha 90.00
_cell_angle_beta 90.00
_cell_angle_gamma 90.00
loop_
_atom_site_label
_atom_site_fract_x
_atom_site_fract_y
_atom_site_fract_z
Al1 0.0000 0.0000 0.0000
As1 0.0000 0.0000 0.5000
Se1 0.0000 0.5000 0.0000
I1 0.5000 0.5000 0.5000
# V	23.49	Å³/atom
# energy relative to the elements, uncorrected	1.20	eV/f.u.
# total magnetization	0.00	μB per formula unit
# raw total energy	-3.493	eV per atom

(2)
# AlAsSe2I, optimized geometry, DFT PBEsol
data_AlAsSe2I
_space_group_name_H-M_alt 'P 4/m m m'
_space_group_IT_number 123
_space_group_name_Hall '-P 4 2'
_cell_length_a 5.3545
_cell_length_b 5.3545
_cell_length_c 5.2722
_cell_angle_alpha 90.00
_cell_angle_beta 90.00
_cell_angle_gamma 90.00
loop_
_atom_site_label
_atom_site_fract_x
_atom_site_fract_y
_atom_site_fract_z
Al1 0.0000 0.0000 0.0000
As1 0.5000 0.5000 0.0000
Se1 0.0000 0.5000 0.5000
I1 0.5000 0.5000 0.5000
# V	30.23	Å³/atom
# energy relative to the elements, uncorrected	4.87	eV/f.u.
# total magnetization	0.00	μB per formula unit
# raw total energy	-2.759	eV per atom

(3)
# AlInAs4, optimized geometry, DFT PBEsol
data_AlInAs4
_space_group_name_H-M_alt 'F -4 3 m'
_space_group_IT_number 216
_space_group_name_Hall 'F -4 2 3'
_cell_length_a 7.9178
_cell_length_b 7.9178
_cell_length_c 7.9178
_cell_angle_alpha 90.00
_cell_angle_beta 90.00
_cell_angle_gamma 90.00
loop_
_atom_site_label
_atom_site_fract_x
_atom_site_fract_y
_atom_site_fract_z
Al1 0.0000 0.0000 0.0000
In1 0.2500 0.2500 0.2500
As1 0.1257 0.1257 0.6257
# V	20.68	Å³/atom
# total magnetization	0.00	μB per formula unit
# ΔE_f	0.32	eV per atom
# raw total energy	-4.262	eV per atom

Number 2 is which compound?
AlAsSe2I